[1]
Compound: CaTcRuO6
Source: Alexandria
Functional: PBE
Structure: optimized geometry

Results
Formation energy without anion corrections   -1.591 eV/atom
DOS at the Fermi energy   0.410 states/eV per atom

```
data_CaTcRuO6
_cell_length_a 4.818
_cell_length_b 4.818
_cell_length_c 9.414
_cell_angle_alpha 90.00
_cell_angle_beta 90.00
_cell_angle_gamma 90.00
_space_group_name_H-M_alt 'P 42 n m'
_space_group_IT_number 102
loop_
_space_group_symop_operation_xyz
'x,y,z'
'-y+1/2,x+1/2,z+1/2'
'-x,-y,z'
'y+1/2,-x+1/2,z+1/2'
'-x+1/2,y+1/2,z+1/2'
'y,x,z'
'x+1/2,-y+1/2,z+1/2'
'-y,-x,z'
loop_
_atom_site_label
_atom_site_fract_x
_atom_site_fract_y
_atom_site_fract_z
_atom_site_occupancy
Ca1 0.000 0.000 0.000 1
Tc1 0.000 0.000 0.669 1
Ru1 0.000 0.000 0.329 1
O1 0.170 0.170 0.501 1
O2 0.213 0.213 0.807 1
O3 0.218 0.218 0.186 1
```


[2]
Compound: Ca2TeRuO6
Source: Alexandria
Functional: PBE
Structure: optimized geometry

Results
Formation energy without anion corrections   -1.610 eV/atom
DOS at the Fermi energy   0.424 states/eV per atom

```
data_Ca2TeRuO6
_cell_length_a 5.810
_cell_length_b 5.810
_cell_length_c 4.057
_cell_angle_alpha 90.00
_cell_angle_beta 90.00
_cell_angle_gamma 90.00
_space_group_name_H-M_alt 'P 4 m m'
_space_group_IT_number 99
loop_
_space_group_symop_operation_xyz
'x,y,z'
'-y,x,z'
'-x,-y,z'
'y,-x,z'
'-x,y,z'
'y,x,z'
'x,-y,z'
'-y,-x,z'
loop_
_atom_site_label
_atom_site_fract_x
_atom_site_fract_y
_atom_site_fract_z
_atom_site_occupancy
Ca1 0.000 0.500 0.000 1
Te1 0.000 0.000 0.609 1
Ru1 0.500 0.500 0.630 1
O1 0.000 0.000 0.120 1
O2 0.249 0.249 0.672 1
O3 0.500 0.500 0.137 1
```


[3]
Compound: CaTl2RuO8
Source: Alexandria
Functional: PBE
Structure: optimized geometry

Results
Formation energy without anion corrections   -0.888 eV/atom
DOS at the Fermi energy   0.269 states/eV per atom

```
data_CaTl2RuO8
_cell_length_a 5.023
_cell_length_b 6.740
_cell_length_c 5.183
_cell_angle_alpha 90.00
_cell_angle_beta 93.08
_cell_angle_gamma 90.00
_space_group_name_H-M_alt 'P 1 2/m 1'
_space_group_IT_number 10
loop_
_space_group_symop_operation_xyz
'x,y,z'
'-x,-y,-z'
'-x,y,-z'
'x,-y,z'
loop_
_atom_site_label
_atom_site_fract_x
_atom_site_fract_y
_atom_site_fract_z
_atom_site_occupancy
Ca1 0.000 0.000 0.000 1
Tl1 0.500 0.249 0.500 1
Ru1 0.000 0.500 0.000 1
O1 0.195 0.303 0.848 1
O2 0.262 0.500 0.307 1
O3 0.273 0.000 0.341 1
```


[4]
Compound: CaTlRu2O8
Source: Alexandria
Functional: PBE
Structure: optimized geometry

Results
Formation energy without anion corrections   -1.151 eV/atom
DOS at the Fermi energy   0.771 states/eV per atom

```
data_CaTlRu2O8
_cell_length_a 5.5953
_cell_length_b 5.5953
_cell_length_c 23.7835
_cell_angle_alpha 90.00
_cell_angle_beta 90.00
_cell_angle_gamma 120.00
_space_group_name_H-M_alt 'R -3'
_space_group_IT_number 148
_space_group_name_Hall '-R 3'
loop_
_atom_site_label
_atom_site_fract_x
_atom_site_fract_y
_atom_site_fract_z
_atom_site_occupancy
Ca1 0.0000 0.0000 0.0000 1
Tl1 0.0000 0.0000 0.5000 1
Ru1 0.0000 0.0000 0.2520 1
O1 0.0000 0.0000 0.1780 1
O2 0.0101 0.3070 0.7248 1
```


Q: What is the DOS at the Fermi energy in the third record?
A: 0.269 states/eV per atom